[1]
Compound: La2TbEr3As6
Source: Alexandria via LeMat-Bulk
Functional: PBE
Structure: optimized geometry

Lattice parameters (Å, degrees): 4.195 8.382 9.368 102.86 102.94 90.00
Positions (direct):
As (0.667, 0.072, 0.334)
As (0.663, 0.592, 0.326)
La (0.165, 0.331, 0.331)
As (0.333, 0.928, 0.666)
Tb (0.500, 0.000, 0.000)
La (0.835, 0.669, 0.669)
As (0.996, 0.250, 0.992)
As (0.004, 0.750, 0.008)
Er (0.167, 0.834, 0.334)
Er (0.833, 0.166, 0.666)
Er (0.500, 0.500, 0.000)
As (0.337, 0.408, 0.674)

Summary:
As for the crystal system: monoclinic. Its space group is C2/m. The formation energy comes out at -1.52 eV/atom. The spin magnetization comes out at 0.00 μB per formula unit. The volume comes out at 26.05 A^3/atom.

---

[2]
Compound: LaTbEr2As4
Source: Alexandria via LeMat-Bulk
Functional: PBE
Structure: optimized geometry

Lattice parameters (Å, degrees): 4.176 7.220 7.227 70.54 90.00 90.00
Positions (direct):
La (0.500, 0.500, 0.000)
Er (0.000, 0.000, 0.000)
Er (0.500, 0.000, 0.500)
As (0.500, 0.758, 0.253)
As (0.000, 0.762, 0.740)
Tb (0.000, 0.500, 0.500)
As (0.500, 0.242, 0.747)
As (0.000, 0.238, 0.260)

Summary:
As for the crystal system: monoclinic. Its space group is P2/m. The formation energy comes out at -1.52 eV/atom. The spin magnetization comes out at 0.00 μB per formula unit. The volume comes out at 25.68 A^3/atom.

---

[3]
Compound: LaTb2ErAs4
Source: Alexandria via LeMat-Bulk
Functional: PBE
Structure: optimized geometry

Lattice parameters (Å, degrees): 4.190 7.251 7.247 70.57 90.00 90.00
Positions (direct):
Tb (0.500, 0.000, 0.500)
La (0.000, 0.500, 0.500)
As (0.000, 0.248, 0.244)
As (0.500, 0.757, 0.241)
As (0.500, 0.243, 0.759)
Tb (0.000, 0.000, 0.000)
Er (0.500, 0.500, 0.000)
As (0.000, 0.752, 0.756)

Summary:
As for the crystal system: monoclinic. Its space group is P2/m. The formation energy comes out at -1.53 eV/atom. The spin magnetization comes out at 0.00 μB per formula unit. The volume comes out at 25.95 A^3/atom.

---

[4]
Compound: LaErTeAs
Source: Alexandria via LeMat-Bulk
Functional: PBE
Structure: optimized geometry

Lattice parameters (Å, degrees): 4.291 4.291 7.668 73.75 73.75 60.00
Positions (direct):
As (0.006, 0.006, 0.982)
Er (0.740, 0.740, 0.780)
Te (0.494, 0.494, 0.518)
La (0.260, 0.260, 0.221)

Summary:
As for the crystal system: trigonal. For the formation energy (no corrections), the calculation gives -1.547 eV/atom. Its space group is R3m. The spin magnetization comes out at 0.00 μB per formula unit. The volume comes out at 28.93 A^3/atom.

---

[5]
Compound: LaEr2ThAs4
Source: Alexandria via LeMat-Bulk
Functional: PBE
Structure: optimized geometry

Lattice parameters (Å, degrees): 4.205 7.233 7.289 70.48 90.00 90.00
Positions (direct):
As (0.000, 0.239, 0.250)
La (0.000, 0.500, 0.500)
As (0.500, 0.763, 0.242)
Er (0.000, 0.000, 0.000)
As (0.000, 0.761, 0.750)
As (0.500, 0.237, 0.758)
Er (0.500, 0.000, 0.500)
Th (0.500, 0.500, 0.000)

Summary:
As for the crystal system: monoclinic. Its space group is P2/m. The formation energy comes out at -1.51 eV/atom. The spin magnetization comes out at 0.00 μB per formula unit. The volume comes out at 26.12 A^3/atom.

---

[6]
Compound: La2ErTh3As6
Source: Alexandria via LeMat-Bulk
Functional: PBE
Structure: optimized geometry

Lattice parameters (Å, degrees): 4.268 8.524 9.540 102.93 102.93 90.00
Positions (direct):
As (0.336, 0.923, 0.673)
As (0.003, 0.757, 0.005)
La (0.166, 0.332, 0.331)
Th (0.832, 0.165, 0.665)
Er (0.500, 0.000, 0.000)
La (0.834, 0.668, 0.669)
Th (0.168, 0.835, 0.335)
As (0.335, 0.412, 0.671)
As (0.997, 0.243, 0.995)
As (0.665, 0.588, 0.329)
As (0.664, 0.077, 0.327)
Th (0.500, 0.500, 0.000)

Summary:
As for the crystal system: monoclinic. Its space group is C2/m. The formation energy comes out at -1.48 eV/atom. The spin magnetization comes out at 0.00 μB per formula unit. The volume comes out at 27.43 A^3/atom.

---

no.,DOS(E_F) (states/eV per cell),energy (eV per formula unit)
1,1.68,-74.363
2,0.93,-49.465
3,0.84,-49.555
4,1.74,-23.468
5,1.64,-52.158
6,5.41,-82.314